The following is a PBE+U calculation of a relaxed Sr3VTc2O9 crystal, from the Alexandria database.

Cell lengths 5.616, 5.616, 6.892 Å; angles 90.00, 90.00, 120.00 degrees
Fractional positions:
Sr1 0.000 0.000 0.000
Sr2 0.333 0.667 0.651
Sr3 0.667 0.333 0.349
V1 0.000 0.000 0.500
Tc1 0.333 0.667 0.160
Tc2 0.667 0.333 0.840
O1 0.000 0.500 0.000
O2 0.168 0.336 0.330
O3 0.168 0.832 0.330
O4 0.336 0.168 0.670
O5 0.500 0.000 0.000
O6 0.500 0.500 0.000
O7 0.664 0.832 0.330
O8 0.832 0.168 0.670
O9 0.832 0.664 0.670

Values from the calculation:
Its space group is No. 164. The calculated density is 5.77 g cm⁻³. The calculation puts the raw total energy at -7.389 eV per atom.